# AcMg3Hg4, relaxed, DFT GGA-PBE
# - Size of the total moment: 0.0 μB/cell
# - Formation energy from the elements: -0.333 eV per atom
# - V: 598 Å³ per cell
data_AcMg3Hg4
_chemical_formula_sum 'Ac3 Mg9 Hg12'
_symmetry_space_group_name_H-M 'R -3 m'
_symmetry_Int_Tables_number 166
_symmetry_space_group_name_Hall '-R 3 2"'
_cell_length_a 4.8693
_cell_length_b 4.8693
_cell_length_c 29.1065
_cell_angle_alpha 90.00
_cell_angle_beta 90.00
_cell_angle_gamma 120.00
loop_
_atom_site_label
_atom_site_fract_x
_atom_site_fract_y
_atom_site_fract_z
_atom_site_occupancy
Ac1 0.0000 0.0000 0.0000 1
Mg1 0.0000 0.0000 0.2376 1
Mg2 0.0000 0.0000 0.5000 1
Hg1 0.0000 0.0000 0.1276 1
Hg2 0.0000 0.0000 0.3953 1